Entry 1:
! Er2ZrCo2 | Alexandria | GGA-PBE | optimized geometry; values from VASP
&SYSTEM
  ibrav = 0, nat = 10, ntyp = 3
/
ATOMIC_SPECIES
Zr 91.22 Zr.upf
Er 167.26 Er.upf
Co 58.93 Co.upf
ATOMIC_POSITIONS crystal
Zr 0.093 0.000 0.750
Er 0.767 0.301 0.649
Co 0.006 0.699 0.998
Er 0.466 0.699 0.851
Er 0.233 0.699 0.351
Co 0.994 0.301 0.002
Er 0.534 0.301 0.149
Co 0.307 0.301 0.502
Co 0.693 0.699 0.498
Zr 0.907 0.000 0.250
CELL_PARAMETERS angstrom
5.798 0.000 0.000
-2.899 5.000 0.297
0.000 -1.822 6.894
! E in eV per atom: -6.64
! Total magnetization in μB per formula unit: 0.00
! Density in Mg/m³: 8.892
! Symmetry: C2/c, No. 15

***

Entry 2:
! Er3ZrCo4 | Alexandria | GGA-PBE | optimized geometry; values from VASP
&SYSTEM
  ibrav = 0, nat = 8, ntyp = 3
/
ATOMIC_SPECIES
Co 58.93 Co.upf
Er 167.26 Er.upf
Zr 91.22 Zr.upf
ATOMIC_POSITIONS crystal
Co 0.000 0.000 0.111
Er 0.500 0.500 0.752
Co 0.000 0.000 0.372
Er 0.500 0.500 0.500
Co 0.000 0.000 0.889
Co 0.000 0.000 0.628
Zr 0.500 0.500 0.000
Er 0.500 0.500 0.248
CELL_PARAMETERS angstrom
-1.375 -0.565 2.917
1.626 -2.833 0.217
9.982 6.181 5.904
! E in eV per atom: -6.57
! Total magnetization in μB per formula unit: 1.48
! Density in Mg/m³: 9.770
! Symmetry: P4/mmm, No. 123

***

Entry 3:
! ErZr2Co9 | Alexandria | GGA-PBE | optimized geometry; values from VASP
&SYSTEM
  ibrav = 0, nat = 12, ntyp = 3
/
ATOMIC_SPECIES
Co 58.93 Co.upf
Er 167.26 Er.upf
Zr 91.22 Zr.upf
ATOMIC_POSITIONS crystal
Co 0.586 0.078 0.749
Co 0.586 0.586 0.749
Co 0.500 0.500 0.500
Er 0.000 0.000 0.000
Co 0.665 0.665 0.006
Co 0.922 0.414 0.251
Zr 0.139 0.139 0.582
Co 0.078 0.586 0.749
Co 0.414 0.922 0.251
Co 0.414 0.414 0.251
Zr 0.861 0.861 0.418
Co 0.335 0.335 0.994
CELL_PARAMETERS angstrom
-0.404 3.958 2.828
3.182 0.744 3.626
5.648 5.599 -2.819
! E in eV per atom: -7.39
! Total magnetization in μB per formula unit: 9.48
! Density in Mg/m³: 8.905
! Symmetry: R-3m, No. 166

***

Entry 4:
! ErZr2Co3 | Alexandria | GGA-PBE | optimized geometry; values from VASP
&SYSTEM
  ibrav = 0, nat = 6, ntyp = 3
/
ATOMIC_SPECIES
Co 58.93 Co.upf
Zr 91.22 Zr.upf
Er 167.26 Er.upf
ATOMIC_POSITIONS crystal
Co 0.000 0.000 0.690
Zr 0.500 0.500 0.164
Co 0.000 0.000 0.310
Co 0.000 0.000 0.000
Zr 0.500 0.500 0.836
Er 0.500 0.500 0.500
CELL_PARAMETERS angstrom
-1.388 2.890 -0.093
-1.543 -0.827 -2.688
-7.477 -3.418 5.342
! E in eV per atom: -7.44
! Total magnetization in μB per formula unit: 0.44
! Density in Mg/m³: 8.668
! Symmetry: P4/mmm, No. 123

***

Entry 5:
! Er2Zr3Co2 | Alexandria | GGA-PBE | optimized geometry; values from VASP
&SYSTEM
  ibrav = 0, nat = 7, ntyp = 3
/
ATOMIC_SPECIES
Co 58.93 Co.upf
Zr 91.22 Zr.upf
Er 167.26 Er.upf
ATOMIC_POSITIONS crystal
Co 0.845 0.076 0.234
Zr 0.619 0.196 0.566
Zr 0.500 0.000 0.000
Zr 0.381 0.804 0.434
Co 0.155 0.924 0.766
Er 0.156 0.488 0.199
Er 0.844 0.512 0.801
CELL_PARAMETERS angstrom
-2.381 1.927 1.606
-0.787 -2.353 5.380
4.424 4.104 5.359
! E in eV per atom: -7.20
! Total magnetization in μB per formula unit: 0.00
! Density in Mg/m³: 8.140
! Symmetry: C2/m, No. 12

***

Entry 6:
! ErZrCo4 | Alexandria | GGA-PBE | optimized geometry; values from VASP
&SYSTEM
  ibrav = 0, nat = 6, ntyp = 3
/
ATOMIC_SPECIES
Co 58.93 Co.upf
Er 167.26 Er.upf
Zr 91.22 Zr.upf
ATOMIC_POSITIONS crystal
Co 0.625 0.125 0.625
Co 0.625 0.625 0.125
Er 0.250 0.250 0.250
Co 0.125 0.625 0.625
Co 0.625 0.625 0.625
Zr 0.000 0.000 0.000
CELL_PARAMETERS angstrom
-0.711 1.398 -4.706
2.926 -1.785 -3.586
-1.810 -3.231 -3.300
! E in eV per atom: -7.18
! Total magnetization in μB per formula unit: 2.83
! Density in Mg/m³: 9.506
! Symmetry: F-43m, No. 216

***

Entry 7:
! ErZrCo2 | Alexandria | GGA-PBE | optimized geometry; values from VASP
&SYSTEM
  ibrav = 0, nat = 4, ntyp = 3
/
ATOMIC_SPECIES
Co 58.93 Co.upf
Zr 91.22 Zr.upf
Er 167.26 Er.upf
ATOMIC_POSITIONS crystal
Co 0.000 0.000 0.774
Zr 0.500 0.500 0.000
Co 0.000 0.000 0.226
Er 0.500 0.500 0.500
CELL_PARAMETERS angstrom
-2.696 0.587 -1.678
-1.755 -1.365 2.342
-0.576 5.817 2.959
! E in eV per atom: -7.10
! Total magnetization in μB per formula unit: 0.34
! Density in Mg/m³: 9.148
! Symmetry: P4/mmm, No. 123

***

Entry 8:
! ErZr3Co2 | Alexandria | GGA-PBE | optimized geometry; values from VASP
&SYSTEM
  ibrav = 0, nat = 12, ntyp = 3
/
ATOMIC_SPECIES
Co 58.93 Co.upf
Er 167.26 Er.upf
Zr 91.22 Zr.upf
ATOMIC_POSITIONS crystal
Co 0.513 0.026 0.163
Er 0.140 0.280 0.060
Zr 0.610 0.219 0.719
Er 0.860 0.720 0.940
Zr 0.940 0.881 0.605
Co 0.487 0.974 0.837
Co 0.205 0.409 0.780
Zr 0.694 0.387 0.399
Zr 0.060 0.119 0.395
Co 0.795 0.591 0.220
Zr 0.306 0.613 0.601
Zr 0.390 0.781 0.281
CELL_PARAMETERS angstrom
-3.935 0.918 2.435
-2.373 -2.477 -7.472
2.047 -5.048 5.213
! E in eV per atom: -7.54
! Total magnetization in μB per formula unit: 0.00
! Density in Mg/m³: 7.794
! Symmetry: C2/m, No. 12